A plane-wave DFT calculation with PBE was carried out for MgUSe2 after structural relaxation.

Results
Energy relative to the elements, uncorrected   -3.00 eV/f.u.
ρ   5.98 g/cm3
E   -68.554 eV per cell
DOS(E_F)   10.00 states/eV per cell

Unit cell a=3.8919 b=3.8919 c=26.6924 alpha=90.00 beta=90.00 gamma=120.00
Last column: nearest neighbours and their distance in Å.
Space group R-3m (No. 166, hexagonal axes)
Symmetry-distinct sites (fractional):
Mg  0.0000  0.0000  0.0000 x3  2 Se 2.69
U  0.0000  0.0000  0.5000 x3  6 Se 2.86
Se  0.0000  0.0000  0.1007 x6  1 Mg 2.69, 3 U 2.86

***

A plane-wave DFT calculation with PBE was carried out for TbCd2Hg8 after structural relaxation.

Results
ΔH_f (0 K)   -0.1120 eV per atom
ρ   12.04 g/cm3
E   -20.214 eV per cell
DOS(E_F)   7.12 states/eV per cell

Unit cell a=15.3586 b=5.1116 c=8.2808 alpha=90.00 beta=122.44 gamma=90.00
Last column: nearest neighbours and their distance in Å.
Space group C2/m (No. 12)
Symmetry-distinct sites (fractional):
Tb  0.0000  0.0000  0.0000 x2  8 Hg 3.15-3.19
Cd  0.2212  0.5000  0.7190 x4  10 Hg 3.08-3.28
Hg  0.0027  0.5000  0.6890 x4  7 Hg 3.09-3.23, 2 Cd 3.23-3.28
Hg  0.1384  0.0000  0.4499 x4  3 Cd 3.14-3.17, 4 Hg 3.14-3.18, 1 Tb 3.15
Hg  0.1424  0.0000  0.8338 x4  3 Cd 3.13-3.18, 4 Hg 3.13-3.17, 1 Tb 3.15
Hg  0.1468  0.5000  0.1505 x4  2 Cd 3.08, 4 Hg 3.17-3.23, 2 Tb 3.19

***

A plane-wave DFT calculation with PBE was carried out for Ac6Ni2SI3 after structural relaxation.

Results
Energy relative to the elements, uncorrected   -11.46 eV/f.u.
ρ   7.42 g/cm3
E   -112.900 eV per cell
DOS(E_F)   23.09 states/eV per cell

Unit cell a=7.6378 b=13.2303 c=8.7534 alpha=90.00 beta=106.86 gamma=90.00
Last column: nearest neighbours and their distance in Å.
Space group C2/m (No. 12)
Symmetry-distinct sites (fractional):
Ac  0.2133  0.0000  0.1871 x4  2 Ni 2.95, 1 S 3.09
Ac  0.2380  0.3257  0.1879 x8  2 Ni 2.94-2.95, 1 S 3.10
Ni  0.0000  0.1672  0.0000 x4  6 Ac 2.94-2.95
S  0.0000  0.5000  0.0000 x2  6 Ac 3.09-3.10
I  0.0000  0.0000  0.5000 x2  6 Ac 3.57-3.69
I  0.0000  0.3377  0.5000 x4  6 Ac 3.60-3.70

***

A plane-wave DFT calculation with PBE was carried out for TaCdPd2Rh after structural relaxation.

Results
ΔH_f (0 K)   1.7274 eV per atom
ρ   8.90 g/cm3
E   -21.868 eV per cell
DOS(E_F)   6.84 states/eV per cell

Unit cell a=4.7541 b=4.7541 c=5.0269 alpha=90.00 beta=90.00 gamma=90.00
Last column: nearest neighbours and their distance in Å.
Space group P4/mmm (No. 123)
Symmetry-distinct sites (fractional):
Ta  0.0000  0.0000  0.0000 x1  2 Cd 2.51
Cd  0.0000  0.0000  0.5000 x1  4 Pd 2.38, 2 Ta 2.51
Pd  0.0000  0.5000  0.5000 x2  2 Cd 2.38
Rh  0.5000  0.5000  0.0000 x1  4 Ta 3.36, 8 Pd 3.46

***

A plane-wave DFT calculation with PBE was carried out for TlGeIrCl2 after structural relaxation.

Results
Energy relative to the elements, uncorrected   0.76 eV/f.u.
ρ   6.53 g/cm3
E   -18.782 eV per cell
DOS(E_F)   2.70 states/eV per cell

Unit cell a=5.3489 b=5.3489 c=4.8005 alpha=90.00 beta=90.00 gamma=90.00
Last column: nearest neighbours and their distance in Å.
Space group P4/mmm (No. 123)
Symmetry-distinct sites (fractional):
Tl  0.0000  0.0000  0.0000 x1  8 Cl 3.59, 4 Ir 3.78
Ge  0.5000  0.5000  0.5000 x1  2 Ir 2.40, 4 Cl 2.67
Ir  0.5000  0.5000  0.0000 x1  2 Ge 2.40
Cl  0.0000  0.5000  0.5000 x2  2 Ge 2.67

***

A plane-wave DFT calculation with PBE was carried out for LaPb5 after structural relaxation.

Results
ΔH_f (0 K)   -0.0197 eV per atom
ρ   9.55 g/cm3
E   -23.587 eV per cell
DOS(E_F)   6.55 states/eV per cell

Unit cell a=6.4481 b=6.4481 c=5.6746 alpha=90.00 beta=90.00 gamma=120.00
Last column: nearest neighbours and their distance in Å.
Space group P6/mmm (No. 191)
Symmetry-distinct sites (fractional):
La  0.0000  0.0000  0.0000 x1  6 Pb 3.72
Pb  0.0000  0.5000  0.5000 x3  8 Pb 3.22-3.39
Pb  0.3333  0.6667  0.0000 x2  9 Pb 3.39-3.72, 3 La 3.72

***

A plane-wave DFT calculation with PBE was carried out for V2Os2Ru after structural relaxation.

Results
ΔH_f (0 K)   0.1055 eV per atom
ρ   13.34 g/cm3
E   -98.890 eV per cell
DOS(E_F)   15.79 states/eV per cell

Unit cell a=7.1214 b=7.1214 c=2.8647 alpha=90.00 beta=90.00 gamma=90.00
Last column: nearest neighbours and their distance in Å.
Space group P4/mbm (No. 127)
Symmetry-distinct sites (fractional):
V  0.1662  0.3338  0.0000 x4  6 Os 2.46-2.59
Os  0.1350  0.6350  0.5000 x4  6 V 2.46-2.59, 1 Os 2.72
Ru  0.0000  0.0000  0.5000 x2  4 Os 2.77, 2 Ru 2.86, 8 V 3.02

***

A plane-wave DFT calculation with PBE was carried out for GdHoTlBi after structural relaxation.

Results
ΔH_f (0 K)   -0.4244 eV per atom
ρ   10.65 g/cm3
E   -106.414 eV per cell
DOS(E_F)   21.18 states/eV per cell

Unit cell a=7.7135 b=7.7135 c=7.7135 alpha=90.00 beta=90.00 gamma=90.00
Last column: nearest neighbours and their distance in Å.
Space group F-43m (No. 216)
Symmetry-distinct sites (fractional):
Gd  0.0000  0.0000  0.0000 x4  4 Tl 3.34, 4 Bi 3.34
Ho  0.0000  0.0000  0.5000 x4  4 Bi 3.34, 4 Tl 3.34
Tl  0.2500  0.2500  0.7500 x4  4 Ho 3.34, 4 Gd 3.34
Bi  0.2500  0.2500  0.2500 x4  4 Gd 3.34, 4 Ho 3.34

***

A plane-wave DFT calculation with PBE was carried out for AcTc5P3 after structural relaxation.

Results
ΔH_f (0 K)   -0.4755 eV per atom
ρ   8.86 g/cm3
E   -305.791 eV per cell
DOS(E_F)   32.64 states/eV per cell

Unit cell a=4.1021 b=12.7728 c=11.5884 alpha=90.00 beta=90.00 gamma=90.00
Last column: nearest neighbours and their distance in Å.
Space group Cmcm (No. 63)
Symmetry-distinct sites (fractional):
Ac  0.0000  0.1730  0.2500 x4  6 P 3.22-3.38, 4 Tc 3.46
Tc  0.0000  0.0000  0.0000 x4  6 Tc 2.55-2.70, 4 P 2.67
Tc  0.0000  0.1913  0.5615 x8  4 P 2.32-2.51, 1 Tc 2.55
Tc  0.0000  0.4600  0.1444 x8  4 P 2.43-2.58, 3 Tc 2.45-2.70
P  0.0000  0.1164  0.7500 x4  6 Tc 2.38-2.58
P  0.0000  0.3719  0.5419 x8  5 Tc 2.32-2.51

***

A plane-wave DFT calculation with PBE was carried out for Ba2CaAs after structural relaxation.

Results
ΔH_f (0 K)   -0.5264 eV per atom
ρ   3.73 g/cm3
E   -12.602 eV per cell
DOS(E_F)   3.87 states/eV per cell

Unit cell a=4.1495 b=4.1484 c=10.0826 alpha=90.00 beta=90.07 gamma=90.00
Last column: nearest neighbours and their distance in Å.
Space group P2/m (No. 10)
Symmetry-distinct sites (fractional):
Ba  0.0016  0.0000  0.3293 x2  4 As 3.40-3.41, 1 Ba 3.44
Ca  0.5000  0.5000  0.0000 x1  4 Ca 4.15, 8 Ba 4.43
As  0.5000  0.5000  0.5000 x1  8 Ba 3.40-3.41

***

A plane-wave DFT calculation with PBE was carried out for Cu2AsIr after structural relaxation.

Results
ΔH_f (0 K)   0.2748 eV per atom
ρ   11.24 g/cm3
E   -41.207 eV per cell
DOS(E_F)   5.87 states/eV per cell

Unit cell a=2.8235 b=4.7292 c=8.7237 alpha=90.00 beta=90.00 gamma=90.00
Last column: nearest neighbours and their distance in Å.
Space group Cmm2 (No. 35)
Symmetry-distinct sites (fractional):
Cu  0.0000  0.0000  0.0000 x2  2 Cu 2.45
Cu  0.0000  0.5000  0.2299 x2  2 Cu 2.45, 2 Ir 2.60
As  0.0000  0.5000  0.7287 x2  2 Ir 2.59, 6 As 2.75-2.82, 2 Cu 2.76
Ir  0.0000  0.0000  0.4795 x2  2 As 2.59, 2 Cu 2.60, 6 Ir 2.75-2.82

***

A plane-wave DFT calculation with PBE was carried out for ZnInNi after structural relaxation.

Results
ΔH_f (0 K)   0.0148 eV per atom
ρ   8.31 g/cm3
E   -9.749 eV per cell
DOS(E_F)   0.97 states/eV per cell

Unit cell a=4.2868 b=4.2868 c=3.0012 alpha=90.00 beta=90.00 gamma=120.00
Last column: nearest neighbours and their distance in Å.
Space group P-6m2 (No. 187)
Symmetry-distinct sites (fractional):
Zn  0.0000  0.0000  0.0000 x1  3 Ni 2.48
In  0.6667  0.3333  0.5000 x1  6 Zn 2.89, 6 Ni 2.89, 2 In 3.00
Ni  0.3333  0.6667  0.0000 x1  3 Zn 2.48

***

A plane-wave DFT calculation with PBE was carried out for Ba5SrTl4 after structural relaxation.

Results
ΔH_f (0 K)   -0.3305 eV per atom
ρ   6.05 g/cm3
E   -24.065 eV per cell
DOS(E_F)   8.76 states/eV per cell

Unit cell a=4.3284 b=4.3284 c=23.3206 alpha=90.00 beta=90.00 gamma=90.00
Last column: nearest neighbours and their distance in Å.
Space group P4/mmm (No. 123)
Symmetry-distinct sites (fractional):
Ba  0.0000  0.0000  0.0000 x1  8 Tl 3.74
Ba  0.0000  0.0000  0.1832 x2  8 Tl 3.72-3.75, 1 Ba 4.15
Ba  0.0000  0.0000  0.3609 x2  4 Tl 3.64
Sr  0.5000  0.5000  0.5000 x1  4 Sr 4.33, 8 Ba 4.46
Tl  0.5000  0.5000  0.0922 x2  8 Ba 3.72-3.74
Tl  0.5000  0.5000  0.2762 x2  8 Ba 3.64-3.75

***

A plane-wave DFT calculation with PBE was carried out for LiDyGe2 after structural relaxation.

Results
ΔH_f (0 K)   -0.4026 eV per atom
ρ   6.43 g/cm3
E   -69.444 eV per cell
DOS(E_F)   8.76 states/eV per cell

Unit cell a=6.8778 b=6.8778 c=6.8778 alpha=90.00 beta=90.00 gamma=90.00
Last column: nearest neighbours and their distance in Å.
Space group Fm-3m (No. 225)
Symmetry-distinct sites (fractional):
Li  0.0000  0.0000  0.0000 x4  8 Ge 2.98
Dy  0.0000  0.0000  0.5000 x4  8 Ge 2.98
Ge  0.2500  0.2500  0.2500 x8  4 Dy 2.98, 4 Li 2.98

***

A plane-wave DFT calculation with PBE was carried out for CaY3Tl4 after structural relaxation.

Results
ΔH_f (0 K)   -0.3962 eV per atom
ρ   8.38 g/cm3
E   -34.029 eV per cell
DOS(E_F)   3.68 states/eV per cell

Unit cell a=3.8252 b=3.8252 c=15.2335 alpha=90.00 beta=90.00 gamma=90.00
Last column: nearest neighbours and their distance in Å.
Space group P4/mmm (No. 123)
Symmetry-distinct sites (fractional):
Ca  0.0000  0.0000  0.0000 x1  8 Tl 3.35
Y  0.0000  0.0000  0.2521 x2  8 Tl 3.28-3.31
Y  0.0000  0.0000  0.5000 x1  8 Tl 3.29
Tl  0.5000  0.5000  0.1300 x2  4 Y 3.28, 4 Ca 3.35
Tl  0.5000  0.5000  0.3774 x2  8 Y 3.29-3.31

***

A plane-wave DFT calculation with PBE was carried out for Y2RhAu after structural relaxation.

Results
ΔH_f (0 K)   -0.8414 eV per atom
ρ   9.06 g/cm3
E   -26.923 eV per cell
DOS(E_F)   4.12 states/eV per cell

Unit cell a=3.5501 b=3.5501 c=6.9481 alpha=90.00 beta=90.00 gamma=90.00
Last column: nearest neighbours and their distance in Å.
Space group P4/mmm (No. 123)
Symmetry-distinct sites (fractional):
Y  0.0000  0.0000  0.2380 x2  4 Rh 3.01, 4 Au 3.10, 1 Y 3.31
Rh  0.5000  0.5000  0.0000 x1  8 Y 3.01
Au  0.5000  0.5000  0.5000 x1  8 Y 3.10

***

A plane-wave DFT calculation with PBE was carried out for BeNbNi2Sb after structural relaxation.

Results
Energy relative to the elements, uncorrected   2.08 eV/f.u.
ρ   7.62 g/cm3
E   -27.405 eV per cell
DOS(E_F)   5.22 states/eV per cell

Unit cell a=4.0062 b=4.0062 c=4.6290 alpha=90.00 beta=90.00 gamma=90.00
Last column: nearest neighbours and their distance in Å.
Space group P4/mmm (No. 123)
Symmetry-distinct sites (fractional):
Be  0.0000  0.0000  0.0000 x1  4 Ni 2.00
Nb  0.5000  0.5000  0.5000 x1  4 Sb 2.83, 8 Ni 3.06
Ni  0.0000  0.5000  0.0000 x2  2 Be 2.00
Sb  0.0000  0.0000  0.5000 x1  2 Be 2.31

***

A plane-wave DFT calculation with PBE was carried out for Al2SbPb2 after structural relaxation.

Results
Energy relative to the elements, uncorrected   0.89 eV/f.u.
ρ   7.47 g/cm3
E   -36.260 eV per cell
DOS(E_F)   5.27 states/eV per cell

Unit cell a=7.4397 b=7.4397 c=4.7398 alpha=90.00 beta=90.00 gamma=90.00
Last column: nearest neighbours and their distance in Å.
Space group P4/mbm (No. 127)
Symmetry-distinct sites (fractional):
Al  0.1276  0.3724  0.0000 x4  1 Al 2.68, 2 Sb 2.93
Sb  0.0000  0.0000  0.0000 x2  4 Al 2.93
Pb  0.1829  0.6829  0.5000 x4  6 Al 3.10-3.33

***

A plane-wave DFT calculation with PBE was carried out for TbHoTl after structural relaxation.

Results
ΔH_f (0 K)   -0.2291 eV per atom
ρ   10.00 g/cm3
E   -24.523 eV per cell
DOS(E_F)   6.80 states/eV per cell

Unit cell a=3.5776 b=3.5776 c=13.7008 alpha=90.00 beta=90.00 gamma=90.00
Last column: nearest neighbours and their distance in Å.
Space group I4mm (No. 107)
Symmetry-distinct sites (fractional):
Tb  0.0000  0.0000  0.0000 x2  4 Tl 3.34, 4 Ho 3.58, 4 Tb 3.58
Ho  0.0000  0.0000  0.6845 x2  4 Tl 3.32, 4 Tb 3.58, 4 Ho 3.58
Tl  0.0000  0.0000  0.3409 x2  4 Ho 3.32, 4 Tb 3.34, 4 Tl 3.58

***

A plane-wave DFT calculation with PBE was carried out for VHg2AsIr after structural relaxation.

Results
ΔH_f (0 K)   1.1380 eV per atom
ρ   10.04 g/cm3
E   -17.543 eV per cell
DOS(E_F)   5.86 states/eV per cell

Unit cell a=5.1431 b=5.1431 c=4.4971 alpha=90.00 beta=90.00 gamma=90.00
Last column: nearest neighbours and their distance in Å.
Space group P4/mmm (No. 123)
Symmetry-distinct sites (fractional):
V  0.0000  0.0000  0.0000 x1  2 Ir 2.25
Hg  0.0000  0.5000  0.0000 x2  2 V 2.57
As  0.5000  0.5000  0.5000 x1  8 Hg 3.42, 4 Ir 3.64
Ir  0.0000  0.0000  0.5000 x1  2 V 2.25